# 1
AlSb2IrAu: relaxed, PBE-GGA.

Geometry as POSCAR:
```
AlSb2IrAu
1.0
5.197 0.000 0.000
0.000 4.690 0.000
0.000 0.000 5.197
Al Sb Au Ir
1 2 1 1
direct
0.000 0.500 0.000
0.500 0.000 0.000
0.000 0.000 0.500
0.500 0.500 0.500
0.000 0.000 0.000
```

Output
- Volume: 25.3 Å³ per atom
- Space-group type: P4/mmm
- Density of states at the Fermi level: 0.542 states/eV per atom
- Uncorrected formation energy: 0.297 eV per atom

# 2
PrTmZr: relaxed, PBE-GGA.

Geometry as POSCAR:
```
PrTmZr
1.0
-2.122 -1.490 3.937
4.069 0.406 2.346
-1.915 7.895 1.955
Pr Zr Tm
2 2 2
direct
0.000 0.500 0.298
0.500 0.000 0.702
0.000 0.000 0.000
0.500 0.500 0.000
0.000 0.500 0.728
0.500 0.000 0.272
```

Output
- Volume: 31.0 Å³ per atom
- Space-group type: P4/nmm
- Density of states at the Fermi level: 1.705 states/eV per atom
- Formation enthalpy at 0 K: 66 kJ/mol of formula units